1.
A plane-wave DFT calculation with GGA-PBEsol was carried out for TlCo2Pt after structural relaxation.

The structure in CIF format:
```
data_TlCo2Pt
_space_group_name_H-M_alt 'I m m 2'
_space_group_IT_number 44
_cell_length_a 3.727
_cell_length_b 3.960
_cell_length_c 7.720
_cell_angle_alpha 90.00
_cell_angle_beta 90.00
_cell_angle_gamma 90.00
loop_
_space_group_symop_operation_xyz
'x,y,z'
'-x,-y,z'
'-x,y,z'
'x,-y,z'
'x+1/2,y+1/2,z+1/2'
'-x+1/2,-y+1/2,z+1/2'
'-x+1/2,y+1/2,z+1/2'
'x+1/2,-y+1/2,z+1/2'
loop_
_atom_site_label
_atom_site_type_symbol
_atom_site_fract_x
_atom_site_fract_y
_atom_site_fract_z
Tl1 Tl 0.000 0.000 0.000
Co1 Co 0.000 0.000 0.485
Co2 Co 0.000 0.500 0.756
Pt1 Pt 0.000 0.500 0.242
```

- Excess energy over the best structure of this formula in the dataset: 0.0 meV/atom
- Formation energy from the elements: 26.4 kJ per mole of atoms



2.
A plane-wave DFT calculation with GGA-PBEsol was carried out for CdPbS2Br after structural relaxation.

The structure in CIF format:
```
data_CdPbS2Br
_space_group_name_H-M_alt 'P 4/m m m'
_space_group_IT_number 123
_space_group_name_Hall '-P 4 2'
_cell_length_a 5.102
_cell_length_b 5.102
_cell_length_c 5.542
_cell_angle_alpha 90.00
_cell_angle_beta 90.00
_cell_angle_gamma 90.00
loop_
_atom_site_label
_atom_site_type_symbol
_atom_site_fract_x
_atom_site_fract_y
_atom_site_fract_z
Cd1 Cd 0.000 0.000 0.000
Pb1 Pb 0.500 0.500 0.500
S1 S 0.000 0.500 0.500
Br1 Br 0.500 0.500 0.000
```

- Raw formation energy: 0.28 eV/atom



3.
A plane-wave DFT calculation with GGA-PBEsol was carried out for Sm3AlFeS7 after structural relaxation.

The structure in CIF format:
```
data_Sm3AlFeS7
_space_group_name_H-M_alt 'P 63'
_space_group_IT_number 173
_cell_length_a 9.7932
_cell_length_b 9.7932
_cell_length_c 6.2368
_cell_angle_alpha 90.00
_cell_angle_beta 90.00
_cell_angle_gamma 120.00
loop_
_space_group_symop_operation_xyz
'x,y,z'
'x-y,x,z+1/2'
'-y,x-y,z'
'-x,-y,z+1/2'
'-x+y,-x,z'
'y,-x+y,z+1/2'
loop_
_atom_site_label
_atom_site_type_symbol
_atom_site_fract_x
_atom_site_fract_y
_atom_site_fract_z
Sm1 Sm 0.1494 0.3763 0.0000
Al1 Al 0.3333 0.6667 0.4252
Fe1 Fe 0.0000 0.0000 0.3263
S1 S 0.0939 0.5746 0.2736
S2 S 0.0950 0.2304 0.5885
S3 S 0.3333 0.6667 0.7850
```

- Raw formation energy: -1.60 eV/atom



4.
A plane-wave DFT calculation with GGA-PBEsol was carried out for Mg5Tl after structural relaxation.

The structure in CIF format:
```
data_Mg5Tl
_space_group_name_H-M_alt 'P 4/m m m'
_space_group_IT_number 123
_space_group_name_Hall '-P 4 2'
_cell_length_a 3.275
_cell_length_b 3.275
_cell_length_c 12.898
_cell_angle_alpha 90.00
_cell_angle_beta 90.00
_cell_angle_gamma 90.00
loop_
_atom_site_label
_atom_site_type_symbol
_atom_site_fract_x
_atom_site_fract_y
_atom_site_fract_z
Mg1 Mg 0.000 0.000 0.000
Mg2 Mg 0.000 0.000 0.333
Mg3 Mg 0.500 0.500 0.166
Tl1 Tl 0.500 0.500 0.500
```

- Excess energy over the best structure of this formula in the dataset: 29.2 meV/atom
- Formation energy from the elements: -1.2 kJ per mole of atoms



5.
A plane-wave DFT calculation with GGA-PBEsol was carried out for CrS2 after structural relaxation.

The structure in CIF format:
```
data_CrS2
_space_group_name_H-M_alt 'I -4 2 d'
_space_group_IT_number 122
_space_group_name_Hall 'I -4 2bw'
_cell_length_a 5.061
_cell_length_b 5.061
_cell_length_c 9.720
_cell_angle_alpha 90.00
_cell_angle_beta 90.00
_cell_angle_gamma 90.00
loop_
_atom_site_label
_atom_site_type_symbol
_atom_site_fract_x
_atom_site_fract_y
_atom_site_fract_z
Cr1 Cr 0.000 0.000 0.000
S1 S 0.247 0.250 0.125
```

- Raw formation energy: -0.30 eV/atom



6.
A plane-wave DFT calculation with GGA-PBEsol was carried out for RbBiMo2O8 after structural relaxation.

The structure in CIF format:
```
data_RbBiMo2O8
_space_group_name_H-M_alt 'P 1 21/c 1'
_space_group_IT_number 14
_cell_length_a 11.643
_cell_length_b 11.906
_cell_length_c 5.244
_cell_angle_alpha 90.00
_cell_angle_beta 92.50
_cell_angle_gamma 90.00
loop_
_space_group_symop_operation_xyz
'x,y,z'
'-x,-y,-z'
'-x,y+1/2,-z+1/2'
'x,-y+1/2,z+1/2'
loop_
_atom_site_label
_atom_site_type_symbol
_atom_site_fract_x
_atom_site_fract_y
_atom_site_fract_z
Rb1 Rb 0.120 0.124 0.480
Bi1 Bi 0.383 0.625 0.990
Mo1 Mo 0.157 0.650 0.500
Mo2 Mo 0.386 0.115 0.977
O1 O 0.063 0.724 0.694
O2 O 0.079 0.555 0.320
O3 O 0.235 0.561 0.727
O4 O 0.277 0.712 0.311
O5 O 0.278 0.197 0.088
O6 O 0.322 0.029 0.735
O7 O 0.452 0.038 0.244
O8 O 0.496 0.201 0.846
```

- Raw formation energy: -1.93 eV/atom



7.
A plane-wave DFT calculation with GGA-PBEsol was carried out for Ca2RhCl after structural relaxation.

The structure in CIF format:
```
data_Ca2RhCl
_space_group_name_H-M_alt 'A m m 2'
_space_group_IT_number 38
_cell_length_a 4.726
_cell_length_b 3.396
_cell_length_c 10.559
_cell_angle_alpha 90.00
_cell_angle_beta 90.00
_cell_angle_gamma 90.00
loop_
_space_group_symop_operation_xyz
'x,y,z'
'-x,-y,z'
'-x,y,z'
'x,-y,z'
'x,y+1/2,z+1/2'
'-x,-y+1/2,z+1/2'
'-x,y+1/2,z+1/2'
'x,-y+1/2,z+1/2'
loop_
_atom_site_label
_atom_site_type_symbol
_atom_site_fract_x
_atom_site_fract_y
_atom_site_fract_z
Ca1 Ca 0.000 0.000 0.000
Ca2 Ca 0.500 0.000 0.260
Rh1 Rh 0.000 0.000 0.741
Cl1 Cl 0.500 0.000 0.524
```

- Excess energy over the best structure of this formula in the dataset: 121.4 meV/atom
- Raw formation energy: -0.91 eV/atom



8.
A plane-wave DFT calculation with GGA-PBEsol was carried out for RbP2Ir after structural relaxation.

The structure in CIF format:
```
data_RbP2Ir
_space_group_name_H-M_alt 'F m -3 m'
_space_group_IT_number 225
_space_group_name_Hall '-F 4 2 3'
_cell_length_a 6.491
_cell_length_b 6.491
_cell_length_c 6.491
_cell_angle_alpha 90.00
_cell_angle_beta 90.00
_cell_angle_gamma 90.00
loop_
_atom_site_label
_atom_site_type_symbol
_atom_site_fract_x
_atom_site_fract_y
_atom_site_fract_z
Rb1 Rb 0.000 0.000 0.000
P1 P 0.250 0.250 0.250
Ir1 Ir 0.000 0.000 0.500
```

- Formation energy from the elements: 64.9 kJ per mole of atoms



| no. | calculated volume (Å³ per cell) |
| --- | --- |
| 1 | 113.95 |
| 2 | 144.25 |
| 3 | 518.02 |
| 4 | 138.35 |
| 5 | 249.00 |
| 6 | 726.17 |
| 7 | 169.44 |
| 8 | 273.49 |